(1)
Here is a relaxed SrTi2MnN4 crystal from Alexandria via LeMat-Bulk. Energies are from GGA-PBE.

## Properties
For the formation energy from raw total energies, the calculation gives -8.744 eV/f.u. The calculation puts the density of states at the Fermi level at 2.54 states/eV/f.u. The space group is Cmcm (63). Its total energy is -137.37 eV per cell.

a = 5.638 Å, b = 5.638 Å, c = 10.819 Å
α = 90.00°, β = 90.00°, γ = 147.76°
Fractional coordinates of all 16 atoms:
Sr: 0.100 0.900 0.750
Sr: 0.900 0.100 0.250
Ti: 0.366 0.634 0.540
Ti: 0.366 0.634 0.960
Ti: 0.634 0.366 0.040
Ti: 0.634 0.366 0.460
Mn: 0.167 0.833 0.250
Mn: 0.833 0.167 0.750
N: 0.000 0.000 0.000
N: 0.000 0.000 0.500
N: 0.259 0.741 0.107
N: 0.259 0.741 0.393
N: 0.414 0.586 0.750
N: 0.586 0.414 0.250
N: 0.741 0.259 0.607
N: 0.741 0.259 0.893


(2)
Here is a relaxed La3DyAg4 crystal from Alexandria via LeMat-Bulk. Energies are from GGA-PBE.

## Properties
The calculation puts the density of states at the Fermi level at 6.86 states/eV/f.u. The space group is P4/mmm (123). The value obtained for the formation energy is -0.272 eV/atom. Its total energy is -32.97 eV per cell.

a = 3.749 Å, b = 3.749 Å, c = 15.315 Å
α = 90.00°, β = 90.00°, γ = 90.00°
Fractional coordinates of all 8 atoms:
La: 0.000 0.000 0.000
La: 0.000 0.000 0.256
La: 0.000 0.000 0.744
Dy: 0.000 0.000 0.500
Ag: 0.500 0.500 0.128
Ag: 0.500 0.500 0.391
Ag: 0.500 0.500 0.609
Ag: 0.500 0.500 0.872


(3)
Here is a relaxed Al2AsRu crystal from Alexandria via LeMat-Bulk. Energies are from GGA-PBE.

## Properties
The calculation puts the density of states at the Fermi level at 0.78 states/eV/f.u. The space group is P4/mmm (123). The value obtained for the formation energy is -0.188 eV/atom. Its total energy is -22.16 eV per cell.

a = 4.353 Å, b = 4.353 Å, c = 3.204 Å
α = 90.00°, β = 90.00°, γ = 90.00°
Fractional coordinates of all 4 atoms:
Al: 0.000 0.500 0.000
Al: 0.500 0.000 0.000
As: 0.000 0.000 0.500
Ru: 0.500 0.500 0.500